[1]
Compound: TcAu3I
Source: Alexandria
Functional: meta-GGA SCAN
Structure: PBEsol geometry

Values from the calculation:
As for the space group: No. 221. The calculation puts the total energy at -1.9948 hartree per atom. As for the uncorrected formation energy: 1573 meV per atom. The density of states at the Fermi level comes out at 1.603 states/eV per cell.

a b c (Å): 5.187 5.187 5.187
angles (deg): 90.00 90.00 90.00
Atoms (fractional coordinates):
Au: 0.500 0.000 0.000
Au: 0.000 0.500 0.000
Au: 0.000 0.000 0.500
Tc: 0.500 0.500 0.500
I: 0.000 0.000 0.000

---

[2]
Compound: TlTcAu2I
Source: Alexandria
Functional: meta-GGA SCAN
Structure: PBEsol geometry

Values from the calculation:
As for the space group: No. 123. The calculation puts the total energy at -2.0327 hartree per atom. As for the uncorrected formation energy: 1181 meV per atom. The density of states at the Fermi level comes out at 3.092 states/eV per cell.

a b c (Å): 4.955 5.257 5.257
angles (deg): 90.00 90.00 90.00
Atoms (fractional coordinates):
Tl: 0.500 0.500 0.500
Au: 0.000 0.500 0.000
Au: 0.000 0.000 0.500
Tc: 0.500 0.000 0.000
I: 0.000 0.000 0.000

---

[3]
Compound: Te2AuI
Source: Alexandria
Functional: meta-GGA SCAN
Structure: PBEsol geometry

Values from the calculation:
As for the space group: No. 51. The calculation puts the total energy at -1.6629 hartree per atom. As for the uncorrected formation energy: -150 meV per atom. The density of states at the Fermi level comes out at 0.440 states/eV per cell.

a b c (Å): 4.073 4.732 12.373
angles (deg): 90.00 90.00 90.00
Atoms (fractional coordinates):
Te: 0.500 0.802 0.084
Te: 0.500 0.198 0.584
Te: 0.500 0.802 0.416
Te: 0.500 0.198 0.916
I: 0.000 0.740 0.750
I: 0.000 0.260 0.250
Au: 0.000 0.500 0.000
Au: 0.000 0.500 0.500

---

[4]
Compound: ZrTe2AuI
Source: Alexandria
Functional: meta-GGA SCAN
Structure: PBEsol geometry

Values from the calculation:
As for the space group: No. 123. The calculation puts the total energy at -1.5469 hartree per atom. As for the uncorrected formation energy: 127 meV per atom. The density of states at the Fermi level comes out at 2.964 states/eV per cell.

a b c (Å): 5.521 5.521 5.507
angles (deg): 90.00 90.00 90.00
Atoms (fractional coordinates):
Au: 0.500 0.500 0.500
Te: 0.000 0.500 0.000
Te: 0.500 0.000 0.000
Zr: 0.000 0.000 0.000
I: 0.000 0.000 0.500

---

[5]
Compound: WAu2I
Source: Alexandria
Functional: meta-GGA SCAN
Structure: PBEsol geometry

Values from the calculation:
As for the space group: No. 225. The calculation puts the total energy at -2.1970 hartree per atom. As for the uncorrected formation energy: 1403 meV per atom. The density of states at the Fermi level comes out at 3.323 states/eV per cell.

a b c (Å): 4.818 4.818 4.818
angles (deg): 60.00 60.00 60.00
Atoms (fractional coordinates):
Au: 0.250 0.250 0.250
Au: 0.750 0.750 0.750
W: 0.500 0.500 0.500
I: 0.000 0.000 0.000

---

[6]
Compound: ZnAuI3
Source: Alexandria
Functional: meta-GGA SCAN
Structure: PBEsol geometry

Values from the calculation:
As for the space group: No. 221. The calculation puts the total energy at -1.4085 hartree per atom. As for the uncorrected formation energy: 252 meV per atom. The density of states at the Fermi level comes out at 1.952 states/eV per cell.

a b c (Å): 5.528 5.528 5.528
angles (deg): 90.00 90.00 90.00
Atoms (fractional coordinates):
Au: 0.000 0.000 0.000
I: 0.000 0.000 0.500
I: 0.500 0.000 0.000
I: 0.000 0.500 0.000
Zn: 0.500 0.500 0.500

---

Question: Which of these has the lowest uncorrected formation energy?
Answer: Te2AuI